LiBeNb | GGA-PBE | relaxed

Geometry as POSCAR:
```
LiBeNb
1.0
4.3937 0.0000 0.0000
-2.1969 3.8051 0.0000
0.0000 0.0000 2.5834
Li Be Nb
1 1 1
Cartesian
0.0000 0.0000 0.0000 Li
0.0000 2.5367 1.2917 Be
2.1969 1.2684 1.2917 Nb
```

Computed properties:
- Energy of formation from the pure elements: 0.623 eV/atom
- Excess energy over the best structure of this formula in the dataset: 0.5262 eV/atom
- Size of the total moment: 0.00 μB/atom
- Calculated volume: 14.4 Å³/atom